Record 1
The following is a DFT calculation (PBE) of a relaxed structure of Ba4LiPt.

Values from the calculation:
* formation enthalpy at 0 K: -0.249 eV/atom
* space-group type: C2/c
* energy above the lowest structure with this stoichiometry: 0.21 eV/f.u.
* D(E_F): 13.954 states/eV per cell
* calculated volume: 545.9 Å³/cell
* energy: -2.857 eV/atom

Lattice parameters (Å, degrees): 9.3403 9.3403 7.5511 105.46 105.46 110.41
Positions (direct):
1 Ba 0.0562 0.7288 0.9260
2 Ba 0.2086 0.3494 0.6804
3 Ba 0.2712 0.9438 0.5740
4 Ba 0.3494 0.2086 0.1804
5 Ba 0.6506 0.7914 0.8196
6 Ba 0.7288 0.0562 0.4260
7 Ba 0.7914 0.6506 0.3196
8 Ba 0.9438 0.2712 0.0740
9 Li 0.3668 0.6332 0.2500
10 Li 0.6332 0.3668 0.7500
11 Pt 0.0017 0.9983 0.2500
12 Pt 0.9983 0.0017 0.7500

***

Record 2
The following is a DFT calculation (PBE) of a relaxed structure of Sm2HoZn.

Values from the calculation:
* formation enthalpy at 0 K: -0.033 eV/atom
* space-group type: R-3m
* energy above the lowest structure with this stoichiometry: 0.50 eV/f.u.
* D(E_F): 4.080 states/eV per cell
* calculated volume: 117.7 Å³/cell
* energy: -3.855 eV/atom

Lattice parameters (Å, degrees): 10.6892 10.6892 10.6892 19.39 19.39 19.39
Positions (direct):
1 Sm 0.2402 0.2402 0.2402
2 Sm 0.7598 0.7598 0.7598
3 Ho 0.0000 0.0000 0.0000
4 Zn 0.5000 0.5000 0.5000

***

Record 3
The following is a DFT calculation (PBE) of a relaxed structure of YMgRu.

Values from the calculation:
* formation enthalpy at 0 K: -0.067 eV/atom
* space-group type: P3m1
* D(E_F): 2.303 states/eV per cell
* calculated volume: 62.3 Å³/cell
* energy: -5.846 eV/atom

Lattice parameters (Å, degrees): 4.5483 4.5483 3.4753 90.00 90.00 120.00
Positions (direct):
1 Y 0.0000 0.0000 0.0000
2 Mg 0.6667 0.3333 0.5021
3 Ru 0.3333 0.6667 0.4918